Compound: GdTm3C2S2
Source: the Open Quantum Materials Database
Functional: PBE
Structure: relaxed

Calculated values
Crystal system: trigonal
Raw total energy, eV/cell: -55.01
Volume, Å³ per atom: 18.6

Structure (CIF):
```
data_GdTm3C2S2
_chemical_formula_sum 'Gd1 Tm3 C2 S2'
_symmetry_space_group_name_H-M 'P 3 m 1'
_symmetry_Int_Tables_number 156
_cell_length_a 3.6697
_cell_length_b 3.6697
_cell_length_c 12.7770
_cell_angle_alpha 90.00
_cell_angle_beta 90.00
_cell_angle_gamma 120.00
loop_
_symmetry_equiv_pos_as_xyz
'x,y,z'
'-y,x-y,z'
'-x+y,-x,z'
'-y,-x,z'
'-x+y,y,z'
'x,x-y,z'
loop_
_atom_site_label
_atom_site_type_symbol
_atom_site_fract_x
_atom_site_fract_y
_atom_site_fract_z
Gd1 Gd 0.0000 0.0000 0.0000
Tm1 Tm 0.0000 0.0000 0.2950
Tm2 Tm 0.6667 0.3333 0.4994
Tm3 Tm 0.6667 0.3333 0.7893
C1 C 0.3333 0.6667 0.3980
C2 C 0.3333 0.6667 0.8923
S1 S 0.0000 0.0000 0.6454
S2 S 0.6667 0.3333 0.1521
```